Compound: AcInNiHg
Source: Alexandria via LeMat-Bulk
Functional: PBE
Structure: optimized geometry

a b c (Å): 5.194 5.194 5.194
angles (deg): 60.00 60.00 60.00
Fractional coordinates of all 4 atoms:
Ac1 0.000 0.000 0.000
In1 0.500 0.500 0.500
Ni1 0.250 0.250 0.250
Hg1 0.750 0.750 0.750

Results
calculated total energy: -13.63 eV for the cell shown
D(E_F): 1.122 states/eV per atom

Compound: Ac2InHgO6
Source: Alexandria via LeMat-Bulk
Functional: PBE
Structure: optimized geometry

a b c (Å): 5.617 5.617 5.505
angles (deg): 90.00 90.00 90.00
Fractional coordinates of all 10 atoms:
Ac1 0.000 0.500 0.000
Ac2 0.500 0.000 0.000
In1 0.000 0.000 0.555
Hg1 0.500 0.500 0.532
O1 0.000 0.000 0.179
O2 0.243 0.243 0.726
O3 0.243 0.757 0.726
O4 0.500 0.500 0.135
O5 0.757 0.243 0.726
O6 0.757 0.757 0.726

Results
D(E_F): 0.602 states/eV per atom
formation energy without anion corrections: -1.9378 eV per atom

Compound: Ac2InHg2O2
Source: Alexandria via LeMat-Bulk
Functional: PBE
Structure: optimized geometry

a b c (Å): 4.125 4.125 14.180
angles (deg): 90.00 90.00 120.00
Fractional coordinates of all 7 atoms:
Ac1 0.333 0.667 0.114
Ac2 0.667 0.333 0.886
In1 0.000 0.000 0.500
Hg1 0.000 0.000 0.297
Hg2 0.000 0.000 0.703
O1 0.333 0.667 0.935
O2 0.667 0.333 0.065

Results
D(E_F): 0.756 states/eV per atom
formation energy without anion corrections: -1.5915 eV per atom

Compound: AcInHgO
Source: Alexandria via LeMat-Bulk
Functional: PBE
Structure: optimized geometry

a b c (Å): 4.505 4.505 9.789
angles (deg): 90.00 90.00 90.00
Fractional coordinates of all 8 atoms:
Ac1 0.250 0.250 0.116
Ac2 0.750 0.750 0.884
In1 0.250 0.750 0.500
In2 0.750 0.250 0.500
Hg1 0.250 0.250 0.705
Hg2 0.750 0.750 0.295
O1 0.250 0.750 0.000
O2 0.750 0.250 0.000

Results
D(E_F): 0.601 states/eV per atom
formation energy without anion corrections: -1.5435 eV per atom

Compound: AcInHgPb
Source: Alexandria via LeMat-Bulk
Functional: PBE
Structure: optimized geometry

a b c (Å): 4.874 4.943 5.031
angles (deg): 90.00 90.00 90.00
Fractional coordinates of all 4 atoms:
Ac1 0.000 0.000 0.000
In1 0.000 0.500 0.500
Hg1 0.500 0.000 0.500
Pb1 0.500 0.500 0.000

Results
energy above the lowest structure with this stoichiometry: 0.000 eV per atom
D(E_F): 0.412 states/eV per atom

Compound: Ac3In2Hg4Pb2
Source: Alexandria via LeMat-Bulk
Functional: PBE
Structure: optimized geometry

a b c (Å): 4.930 4.930 16.823
angles (deg): 90.00 90.00 120.00
Fractional coordinates of all 11 atoms:
Ac1 0.000 0.000 0.000
Ac2 0.000 0.000 0.281
Ac3 0.000 0.000 0.719
In1 0.333 0.667 0.563
In2 0.667 0.333 0.437
Hg1 0.333 0.667 0.387
Hg2 0.333 0.667 0.895
Hg3 0.667 0.333 0.105
Hg4 0.667 0.333 0.613
Pb1 0.333 0.667 0.162
Pb2 0.667 0.333 0.838

Results
calculated total energy: -30.33 eV for the cell shown
D(E_F): 0.425 states/eV per atom

Compound: AcIn3Hg4Pb2
Source: Alexandria via LeMat-Bulk
Functional: PBE
Structure: optimized geometry

a b c (Å): 4.759 4.759 13.841
angles (deg): 90.00 90.00 90.00
Fractional coordinates of all 10 atoms:
Ac1 0.000 0.000 0.000
In1 0.000 0.500 0.363
In2 0.500 0.000 0.637
In3 0.500 0.500 0.000
Hg1 0.000 0.000 0.500
Hg2 0.000 0.500 0.160
Hg3 0.500 0.000 0.840
Hg4 0.500 0.500 0.500
Pb1 0.000 0.500 0.776
Pb2 0.500 0.000 0.224

Results
calculated total energy: -21.01 eV for the cell shown
D(E_F): 0.706 states/eV per atom

Compound: Ac2In3Hg6Pb
Source: Alexandria via LeMat-Bulk
Functional: PBE
Structure: optimized geometry

a b c (Å): 4.697 4.697 18.964
angles (deg): 90.00 90.00 90.00
Fractional coordinates of all 12 atoms:
Ac1 0.000 0.000 0.239
Ac2 0.000 0.000 0.761
In1 0.500 0.500 0.000
In2 0.500 0.500 0.295
In3 0.500 0.500 0.705
Hg1 0.000 0.500 0.389
Hg2 0.000 0.500 0.611
Hg3 0.500 0.000 0.389
Hg4 0.500 0.000 0.611
Hg5 0.500 0.500 0.146
Hg6 0.500 0.500 0.854
Pb1 0.000 0.000 0.500

Results
calculated total energy: -22.14 eV for the cell shown
D(E_F): 0.687 states/eV per atom

Compound: AcInHgPb
Source: Alexandria via LeMat-Bulk
Functional: PBE
Structure: optimized geometry

a b c (Å): 5.584 5.584 5.584
angles (deg): 60.00 60.00 60.00
Fractional coordinates of all 4 atoms:
Ac1 0.000 0.000 0.000
In1 0.750 0.750 0.750
Hg1 0.250 0.250 0.250
Pb1 0.500 0.500 0.500

Results
energy above the lowest structure with this stoichiometry: 0.069 eV per atom
D(E_F): 0.571 states/eV per atom

Compound: Ac2In2HgPd5
Source: Alexandria via LeMat-Bulk
Functional: PBE
Structure: optimized geometry

a b c (Å): 11.050 11.050 3.668
angles (deg): 90.00 90.00 90.00
Fractional coordinates of all 20 atoms:
Ac1 0.174 0.326 0.000
Ac2 0.326 0.826 0.000
Ac3 0.674 0.174 0.000
Ac4 0.826 0.674 0.000
In1 0.127 0.627 0.000
In2 0.373 0.127 0.000
In3 0.627 0.873 0.000
In4 0.873 0.373 0.000
Hg1 0.000 0.000 0.000
Hg2 0.500 0.500 0.000
Pd1 0.000 0.500 0.500
Pd2 0.049 0.803 0.500
Pd3 0.197 0.049 0.500
Pd4 0.303 0.549 0.500
Pd5 0.451 0.303 0.500
Pd6 0.500 0.000 0.500
Pd7 0.549 0.697 0.500
Pd8 0.697 0.451 0.500
Pd9 0.803 0.951 0.500
Pd10 0.951 0.197 0.500

Results
calculated total energy: -89.23 eV for the cell shown
D(E_F): 0.540 states/eV per atom

Compound: Ac3InHg2Pd6
Source: Alexandria via LeMat-Bulk
Functional: PBE
Structure: optimized geometry

a b c (Å): 5.956 5.956 9.196
angles (deg): 90.00 90.00 120.00
Fractional coordinates of all 12 atoms:
Ac1 0.000 0.000 0.000
Ac2 0.333 0.667 0.625
Ac3 0.667 0.333 0.375
In1 0.000 0.000 0.500
Hg1 0.333 0.667 0.007
Hg2 0.667 0.333 0.993
Pd1 0.176 0.352 0.279
Pd2 0.176 0.824 0.279
Pd3 0.352 0.176 0.721
Pd4 0.648 0.824 0.279
Pd5 0.824 0.176 0.721
Pd6 0.824 0.648 0.721

Results
calculated total energy: -54.87 eV for the cell shown
D(E_F): 0.399 states/eV per atom

Compound: Ac2InHgPd6
Source: Alexandria via LeMat-Bulk
Functional: PBE
Structure: optimized geometry

a b c (Å): 6.906 6.906 8.741
angles (deg): 128.61 128.61 48.32
Fractional coordinates of all 10 atoms:
Ac1 0.030 0.030 0.285
Ac2 0.970 0.970 0.715
In1 0.500 0.500 0.000
Hg1 0.500 0.500 0.500
Pd1 0.003 0.508 0.740
Pd2 0.318 0.318 0.068
Pd3 0.492 0.997 0.260
Pd4 0.508 0.003 0.740
Pd5 0.682 0.682 0.932
Pd6 0.997 0.492 0.260

Results
calculated total energy: -48.46 eV for the cell shown
D(E_F): 0.363 states/eV per atom

Question: Which value of D(E_F) does entry 5 give?
Answer: 0.412 states/eV per atom

Question: Which value of D(E_F) does entry 12 give?
Answer: 0.363 states/eV per atom